# Pm5InSn3 | the Alexandria database | PBE | optimized geometry
# * raw total energy: -4.9426 eV per atom
# * magnetization: 0.00 μB/f.u.
# * ΔH_f (0 K): -64 kJ per mole of atoms
data_Pm5InSn3
_cell_length_a 9.5733
_cell_length_b 9.5733
_cell_length_c 6.6752
_cell_angle_alpha 90.00
_cell_angle_beta 90.00
_cell_angle_gamma 120.00
_space_group_name_H-M_alt 'P 63/m c m'
_space_group_IT_number 193
_space_group_name_Hall '-P 6c 2'
loop_
_atom_site_label
_atom_site_fract_x
_atom_site_fract_y
_atom_site_fract_z
Pm1 0.0000 0.2805 0.2500
Pm2 0.3333 0.6667 0.0000
In1 0.0000 0.0000 0.0000
Sn1 0.0000 0.3747 0.7500